Entry from the Alexandria database: BeAl2Ga after structural relaxation (PBE-GGA).

Values from the calculation:
* energy of formation from the pure elements: 0.13 eV/atom

```
BeAl2Ga
1.0
2.735 0.000 0.000
0.000 2.735 0.000
0.000 0.000 7.920
Be Al Ga
1 2 1
Direct
0.000 0.000 0.000 Be
0.500 0.500 0.217 Al
0.500 0.500 0.783 Al
0.000 0.000 0.500 Ga
```

Entry from the Alexandria database: HoEr2AlC after structural relaxation (PBE-GGA).

Values from the calculation:
* energy of formation from the pure elements: -0.43 eV/atom

```
HoEr2AlC
1.0
4.829 0.000 0.000
0.000 4.829 0.000
0.000 0.000 4.856
Ho Er Al C
1 2 1 1
Direct
0.000 0.000 0.000 Ho
0.000 0.500 0.500 Er
0.500 0.000 0.500 Er
0.500 0.500 0.000 Al
0.000 0.000 0.500 C
```

Entry from the Alexandria database: ScMn2Mo after structural relaxation (PBE-GGA).

Values from the calculation:
* energy of formation from the pure elements: 0.37 eV/atom

```
ScMn2Mo
1.0
1.473 0.851 8.291
-1.473 0.851 8.291
0.000 -1.701 8.291
Sc Mn Mo
1 2 1
Direct
0.000 0.000 0.000 Sc
0.243 0.243 0.243 Mn
0.757 0.757 0.757 Mn
0.500 0.500 0.500 Mo
```

Entry from the Alexandria database: CaEuTlSi after structural relaxation (PBE-GGA).

Values from the calculation:
* energy relative to the elements, uncorrected: -0.326 eV per atom

```
CaEuTlSi
1.0
0.000 3.782 3.782
3.782 0.000 3.782
3.782 3.782 0.000
Ca Eu Tl Si
1 1 1 1
Direct
0.000 0.000 0.000 Ca
0.500 0.500 0.500 Eu
0.250 0.250 0.250 Tl
0.750 0.750 0.750 Si
```

Entry from the Alexandria database: LaAl4ZnIr2 after structural relaxation (PBE-GGA).

Values from the calculation:
* energy of formation from the pure elements: -0.57 eV/atom

```
LaAl4ZnIr2
1.0
2.142 1.237 9.075
-2.142 1.237 9.075
0.000 -2.474 9.075
La Al Zn Ir
1 4 1 2
Direct
0.000 0.000 0.000 La
0.130 0.130 0.130 Al
0.406 0.406 0.406 Al
0.594 0.594 0.594 Al
0.870 0.870 0.870 Al
0.500 0.500 0.500 Zn
0.229 0.229 0.229 Ir
0.771 0.771 0.771 Ir
```

Entry from the Alexandria database: ZrMoRu4 after structural relaxation (PBE-GGA).

Values from the calculation:
* energy of formation from the pure elements: 0.02 eV/atom

```
ZrMoRu4
1.0
0.000 3.629 3.629
3.629 0.000 3.629
3.629 3.629 0.000
Zr Mo Ru
1 1 4
Direct
0.000 0.000 0.000 Zr
0.750 0.750 0.750 Mo
0.375 0.375 0.375 Ru
0.375 0.375 0.875 Ru
0.375 0.875 0.375 Ru
0.875 0.375 0.375 Ru
```

Entry from the Alexandria database: Rb2SrMnI after structural relaxation (PBE-GGA).

Values from the calculation:
* energy relative to the elements, uncorrected: 0.243 eV per atom

```
Rb2SrMnI
1.0
6.838 0.000 0.000
0.000 6.838 0.000
0.000 0.000 6.246
Rb Sr Mn I
2 1 1 1
Direct
0.000 0.500 0.000 Rb
0.500 0.000 0.000 Rb
0.000 0.000 0.500 Sr
0.000 0.000 0.000 Mn
0.500 0.500 0.500 I
```

Entry from the Alexandria database: TaRhSe2 after structural relaxation (PBE-GGA).

Values from the calculation:
* energy relative to the elements, uncorrected: -0.085 eV per atom
* energy above the lowest structure with this stoichiometry: 1.66 eV per formula unit

```
TaRhSe2
1.0
-1.566 2.191 4.953
1.566 -2.191 4.953
1.566 2.191 -4.953
Ta Rh Se
1 1 2
Direct
0.000 0.000 0.000 Ta
0.248 0.748 0.500 Rh
0.479 0.479 0.000 Se
0.764 0.264 0.500 Se
```